No. 1
Computed, not measured: a geometry-optimized TiAl3Ni structure at the PBE level of DFT.

Values from the calculation:
Energy of formation from the pure elements = 0.0602 eV per atom
Total energy = -4.9206 eV/atom
M_tot = 0.883 μB/f.u.
Density of states at the Fermi level = 3.5 states/eV/cell

Cell: 4.4150 4.4150 4.4150 Å, 90.00 90.00 90.00°
Space group Pm-3m (No. 221)
Unique sites:
Ti: 0.0000 0.0000 0.0000 x1
Al: 0.0000 0.5000 0.5000 x3
Ni: 0.5000 0.5000 0.5000 x1

No. 2
Computed, not measured: a geometry-optimized Ti2AlNi8 structure at the PBE level of DFT.

Values from the calculation:
Energy of formation from the pure elements = -0.3738 eV per atom
Total energy = -6.3541 eV/atom
M_tot = 0.000 μB/f.u.
Density of states at the Fermi level = 16.3 states/eV/cell

Cell: 12.9339 3.6290 5.8192 Å, 90.00 106.72 90.00°
Space group C2/m (No. 12)
Unique sites:
Ti: 0.2226 0.0000 0.1636 x4
Al: 0.0000 0.5000 0.5000 x2
Ni: 0.0407 0.0000 0.2218 x4
Ni: 0.0908 0.5000 0.9527 x4
Ni: 0.1390 0.0000 0.6823 x4
Ni: 0.1771 0.5000 0.4061 x4

No. 3
Computed, not measured: a geometry-optimized Ti3AlNi2 structure at the PBE level of DFT.

Values from the calculation:
Energy of formation from the pure elements = -0.3485 eV per atom
Total energy = -6.8469 eV/atom
M_tot = 0.000 μB/f.u.
Density of states at the Fermi level = 11.6 states/eV/cell

Cell: 4.2345 7.3896 5.6424 Å, 90.00 90.00 90.00°
Space group Pmc2_1 (No. 26)
Unique sites:
Ti: 0.0000 0.0526 0.0000 x2
Ti: 0.0000 0.3386 0.3348 x2
Ti: 0.5000 0.1750 0.6820 x2
Al: 0.5000 0.4539 0.0357 x2
Ni: 0.0000 0.3369 0.7697 x2
Ni: 0.5000 0.1557 0.2607 x2

Please write out number 1 again, unchanged.
Computed, not measured: a geometry-optimized TiAl3Ni structure at the PBE level of DFT.

Values from the calculation:
Energy of formation from the pure elements = 0.0602 eV per atom
Total energy = -4.9206 eV/atom
M_tot = 0.883 μB/f.u.
Density of states at the Fermi level = 3.5 states/eV/cell

Cell: 4.4150 4.4150 4.4150 Å, 90.00 90.00 90.00°
Space group Pm-3m (No. 221)
Unique sites:
Ti: 0.0000 0.0000 0.0000 x1
Al: 0.0000 0.5000 0.5000 x3
Ni: 0.5000 0.5000 0.5000 x1

- What is the density of states at the Fermi level in the second record?
  16.3 states/eV/cell

- Among the records above, which one has the highest total energy?
  TiAl3Ni